No. 1
Density functional theory data (PBE-GGA) for a relaxed structure of HoMgTl.

Unit cell a=4.6667 b=7.5201 c=7.5201 alpha=120.00 beta=90.00 gamma=90.00
Positions (direct):
1 Mg 0.5000 0.0000 0.7573
2 Mg 0.5000 0.7573 0.0000
3 Mg 0.5000 0.2427 0.2427
4 Tl 0.5000 0.6667 0.3333
5 Tl 0.0000 0.0000 0.0000
6 Tl 0.5000 0.3333 0.6667
7 Ho 0.0000 0.4320 0.0000
8 Ho 0.0000 0.5680 0.5680
9 Ho 0.0000 0.0000 0.4320

Output
Crystal system: hexagonal
Calculated total energy (eV per cell): -28.45
DOS at the Fermi energy (states/eV/cell): 1.831
Symmetry: P-62m

No. 2
Density functional theory data (PBE-GGA) for a relaxed structure of BaAlN2.

Unit cell a=6.8431 b=6.8431 c=6.8431 alpha=27.98 beta=27.98 gamma=27.98
Positions (direct):
1 N 0.8789 0.8789 0.8789
2 N 0.1211 0.1211 0.1211
3 Ba 0.0000 0.0000 0.0000
4 Al 0.5000 0.5000 0.5000

Output
Crystal system: trigonal
Calculated total energy (eV per cell): -20.91
DOS at the Fermi energy (states/eV/cell): 2.180
Symmetry: R-3m